Record 1
Entry from Alexandria via LeMat-Bulk: a geometry-optimized CuGeI2O structure (GGA-PBE).

Lattice parameters (Å, degrees): 5.612 5.612 3.671 90.00 90.00 90.00
Space group P4/mmm (No. 123)
Inequivalent atoms, fractional coordinates:
Cu 0.000 0.000 0.000 (multiplicity 1)
Ge 0.500 0.500 0.500 (multiplicity 1)
I 0.000 0.500 0.000 (multiplicity 2)
O 0.000 0.000 0.500 (multiplicity 1)

The polymorph energy (0 for the lowest one) comes out at 0.46 eV per formula unit. For the uncorrected formation energy, the calculation gives 0.60 eV/f.u.

=====

Record 2
Entry from Alexandria via LeMat-Bulk: a geometry-optimized PrNd2Th3Se6 structure (GGA-PBE).

Lattice parameters (Å, degrees): 18.514 4.231 8.426 90.00 104.62 90.00
Space group C2/m (No. 12)
Inequivalent atoms, fractional coordinates:
Pr 0.000 0.000 0.000 (multiplicity 2)
Nd 0.167 0.500 0.333 (multiplicity 4)
Th 0.000 0.000 0.500 (multiplicity 2)
Th 0.166 0.500 0.833 (multiplicity 4)
Se 0.001 0.500 0.252 (multiplicity 4)
Se 0.167 0.000 0.084 (multiplicity 4)
Se 0.167 0.000 0.583 (multiplicity 4)

For the uncorrected formation energy, the calculation gives -20.09 eV/f.u.

=====

Record 3
Entry from Alexandria via LeMat-Bulk: a geometry-optimized NaHo2CdAu4 structure (GGA-PBE).

Lattice parameters (Å, degrees): 4.9569 4.9569 24.1215 90.00 90.00 120.00
Space group R-3m (No. 166, hexagonal axes)
Inequivalent atoms, fractional coordinates:
Na 0.0000 0.0000 0.0000 (multiplicity 3)
Ho 0.0000 0.0000 0.2477 (multiplicity 6)
Cd 0.0000 0.0000 0.5000 (multiplicity 3)
Au 0.0000 0.0000 0.1241 (multiplicity 6)
Au 0.0000 0.0000 0.3738 (multiplicity 6)

The formation energy is -0.629 eV/atom.

=====

Record 4
Entry from Alexandria via LeMat-Bulk: a geometry-optimized TbBeNi structure (GGA-PBE).

Lattice parameters (Å, degrees): 3.9187 3.9187 3.7611 90.00 90.00 120.00
Space group P-6m2 (No. 187)
Inequivalent atoms, fractional coordinates:
Tb 0.0000 0.0000 0.0000 (multiplicity 1)
Be 0.6667 0.3333 0.5000 (multiplicity 1)
Ni 0.3333 0.6667 0.5000 (multiplicity 1)

The formation energy is -0.267 eV/atom. The polymorph energy (0 for the lowest one) comes out at 0.00 eV per formula unit.

=====

Record 5
Entry from Alexandria via LeMat-Bulk: a geometry-optimized Mg14FeSn structure (GGA-PBE).

Lattice parameters (Å, degrees): 10.181 6.243 10.930 90.00 90.00 90.00
Space group Amm2 (No. 38)
Inequivalent atoms, fractional coordinates:
Mg 0.000 0.000 0.000 (multiplicity 2)
Mg 0.000 0.000 0.499 (multiplicity 2)
Mg 0.000 0.247 0.251 (multiplicity 4)
Mg 0.246 0.000 0.668 (multiplicity 4)
Mg 0.259 0.000 0.162 (multiplicity 4)
Mg 0.262 0.242 0.918 (multiplicity 8)
Mg 0.500 0.249 0.748 (multiplicity 4)
Fe 0.500 0.000 0.999 (multiplicity 2)
Sn 0.500 0.000 0.505 (multiplicity 2)

The formation energy is 0.049 eV/atom. The polymorph energy (0 for the lowest one) comes out at 0.09 eV per formula unit.

=====

Record 6
Entry from Alexandria via LeMat-Bulk: a geometry-optimized Dy3HfRu4 structure (GGA-PBE).

Lattice parameters (Å, degrees): 3.342 3.342 13.516 90.00 90.00 90.00
Space group P4/mmm (No. 123)
Inequivalent atoms, fractional coordinates:
Dy 0.000 0.000 0.000 (multiplicity 1)
Dy 0.000 0.000 0.253 (multiplicity 2)
Hf 0.000 0.000 0.500 (multiplicity 1)
Ru 0.500 0.500 0.128 (multiplicity 2)
Ru 0.500 0.500 0.387 (multiplicity 2)

The formation energy is -0.455 eV/atom.

=====

Record 7
Entry from Alexandria via LeMat-Bulk: a geometry-optimized Na2Tl5In5 structure (GGA-PBE).

Lattice parameters (Å, degrees): 13.291 4.948 11.178 90.00 113.15 90.00
Space group C2/m (No. 12)
Inequivalent atoms, fractional coordinates:
Na 0.084 0.000 0.252 (multiplicity 4)
Tl 0.000 0.000 0.500 (multiplicity 2)
Tl 0.162 0.000 0.998 (multiplicity 4)
Tl 0.249 0.500 0.248 (multiplicity 4)
In 0.000 0.500 0.000 (multiplicity 2)
In 0.085 0.500 0.746 (multiplicity 4)
In 0.165 0.500 0.494 (multiplicity 4)

The formation energy is -0.039 eV/atom.

=====

Record 8
Entry from Alexandria via LeMat-Bulk: a geometry-optimized Nd8Er2Th structure (GGA-PBE).

Lattice parameters (Å, degrees): 10.436 13.642 5.459 90.00 90.00 90.00
Space group Cmmm (No. 65)
Inequivalent atoms, fractional coordinates:
Nd 0.000 0.248 0.000 (multiplicity 4)
Nd 0.166 0.369 0.500 (multiplicity 8)
Nd 0.168 0.000 0.000 (multiplicity 4)
Er 0.000 0.119 0.500 (multiplicity 4)
Th 0.000 0.500 0.000 (multiplicity 2)

The formation energy is 0.163 eV/atom.

=====

Record 9
Entry from Alexandria via LeMat-Bulk: a geometry-optimized SrCa3Pu2N6 structure (GGA-PBE).

Lattice parameters (Å, degrees): 15.220 3.547 7.083 90.00 102.77 90.00
Space group C2/m (No. 12)
Inequivalent atoms, fractional coordinates:
Sr 0.000 0.000 0.000 (multiplicity 2)
Ca 0.000 0.000 0.500 (multiplicity 2)
Ca 0.169 0.500 0.836 (multiplicity 4)
Pu 0.168 0.500 0.333 (multiplicity 4)
N 0.028 0.500 0.279 (multiplicity 4)
N 0.172 0.000 0.120 (multiplicity 4)
N 0.183 0.000 0.577 (multiplicity 4)

For the uncorrected formation energy, the calculation gives -12.58 eV/f.u.

=====

Record 10
Entry from Alexandria via LeMat-Bulk: a geometry-optimized TbPmAlCu structure (GGA-PBE).

Lattice parameters (Å, degrees): 3.526 3.526 7.489 90.00 90.00 90.00
Space group P4mm (No. 99)
Inequivalent atoms, fractional coordinates:
Tb 0.000 0.000 0.000 (multiplicity 1)
Pm 0.000 0.000 0.475 (multiplicity 1)
Al 0.500 0.500 0.744 (multiplicity 1)
Cu 0.500 0.500 0.214 (multiplicity 1)

The formation energy is -0.289 eV/atom. The polymorph energy (0 for the lowest one) comes out at 0.00 eV per formula unit.

=====

Record 11
Entry from Alexandria via LeMat-Bulk: a geometry-optimized Ba4Ac3TmTe8 structure (GGA-PBE).

Lattice parameters (Å, degrees): 9.5312 9.5312 23.8433 90.00 90.00 120.00
Space group R-3m (No. 166, hexagonal axes)
Inequivalent atoms, fractional coordinates:
Ba 0.0000 0.0000 0.0000 (multiplicity 3)
Ba 0.0000 0.5000 0.0000 (multiplicity 9)
Ac 0.0000 0.5000 0.5000 (multiplicity 9)
Tm 0.0000 0.0000 0.5000 (multiplicity 3)
Te 0.0000 0.0000 0.2460 (multiplicity 6)
Te 0.0168 0.5084 0.2421 (multiplicity 18)

For the uncorrected formation energy, the calculation gives -25.27 eV/f.u.

=====

Record 12
Entry from Alexandria via LeMat-Bulk: a geometry-optimized MgTaS3 structure (GGA-PBE).

Lattice parameters (Å, degrees): 4.598 4.598 4.598 90.00 90.00 90.00
Space group Pm-3m (No. 221)
Inequivalent atoms, fractional coordinates:
Mg 0.000 0.000 0.000 (multiplicity 1)
Ta 0.500 0.500 0.500 (multiplicity 1)
S 0.000 0.000 0.500 (multiplicity 3)

The polymorph energy (0 for the lowest one) comes out at 7.87 eV per formula unit. For the uncorrected formation energy, the calculation gives 2.47 eV/f.u.